Below is Ca3TlSn2 after structural relaxation, with properties calculated at the PBE-GGA level.

Computed properties:
Polymorph energy (0 for the lowest one) (meV per atom): 18
Space-group type: P4/mmm, No. 123
Formation enthalpy at 0 K (eV per atom): -0.5462
ρ (g/cm³): 5.38

a = 3.727 Å, b = 3.727 Å, c = 12.497 Å
α = 90.00°, β = 90.00°, γ = 90.00°
Element x y z (fractional)
1 Ca 0.000 0.000 0.000
2 Ca 0.000 0.000 0.665
3 Ca 0.000 0.000 0.335
4 Tl 0.500 0.500 0.500
5 Sn 0.500 0.500 0.830
6 Sn 0.500 0.500 0.170

***

Below is CaTl3Sn after structural relaxation, with properties calculated at the PBE-GGA level.

Computed properties:
Polymorph energy (0 for the lowest one) (meV per atom): 378
Space-group type: Pm-3m, No. 221
Formation enthalpy at 0 K (eV per atom): 0.2181
ρ (g/cm³): 6.53

a = 5.811 Å, b = 5.811 Å, c = 5.811 Å
α = 90.00°, β = 90.00°, γ = 90.00°
Element x y z (fractional)
1 Tl 0.000 0.500 0.000
2 Tl 0.000 0.000 0.500
3 Tl 0.500 0.000 0.000
4 Ca 0.500 0.500 0.500
5 Sn 0.000 0.000 0.000

***

Below is Ca3TlSn2 after structural relaxation, with properties calculated at the PBE-GGA level.

Computed properties:
Polymorph energy (0 for the lowest one) (meV per atom): 0
Space-group type: Cmmm, No. 65
Formation enthalpy at 0 K (eV per atom): -0.5638
ρ (g/cm³): 5.34

a = 3.717 Å, b = 5.563 Å, c = 8.902 Å
α = 108.21°, β = 90.00°, γ = 90.00°
Element x y z (fractional)
1 Ca 0.500 0.500 0.000
2 Ca 0.500 0.826 0.653
3 Ca 0.500 0.174 0.347
4 Tl 0.000 0.000 0.000
5 Sn 0.000 0.341 0.682
6 Sn 0.000 0.659 0.318

***

Below is CaTlSn4 after structural relaxation, with properties calculated at the PBE-GGA level.

Computed properties:
Polymorph energy (0 for the lowest one) (meV per atom): 39
Space-group type: F-43m, No. 216
Formation enthalpy at 0 K (eV per atom): -0.1818
ρ (g/cm³): 6.80

a = 6.288 Å, b = 6.288 Å, c = 6.288 Å
α = 60.00°, β = 60.00°, γ = 60.00°
Element x y z (fractional)
1 Tl 0.000 0.000 0.000
2 Ca 0.250 0.250 0.250
3 Sn 0.625 0.625 0.125
4 Sn 0.625 0.125 0.625
5 Sn 0.625 0.625 0.625
6 Sn 0.125 0.625 0.625